5
Lattice="4.489 0.000 0.000 0.000 3.925 0.000 0.000 0.000 4.489" Properties=species:S:1:pos:R:3 comment="YHPbF2 (PBE-GGA, optimized geometry)" magmom_total_mub_per_cell=0.00 sg=P4/mmm mass_density_g_cm3=7.04 final_energy_ev_per_atom=-4.47 pbc="T T T"
Y 2.244 1.963 2.244
F 0.000 0.000 2.244
F 2.244 0.000 0.000
Pb 0.000 1.963 0.000
H 0.000 0.000 0.000

***

4
Lattice="6.337 -0.001 -0.002 -2.617 4.286 -0.003 1.102 0.678 2.309" Properties=species:S:1:pos:R:3 comment="LiAg2Os (PBE-GGA, optimized geometry)" magmom_total_mub_per_cell=0.00 formation_enthalpy_0k_ev_per_atom=0.29 sg=Cmmm polymorph_energy_ev_per_atom=0.012 mass_density_g_cm3=10.93 final_energy_ev_per_atom=-4.42 pbc="T T T"
Os 1.860 2.143 -0.003
Ag 3.719 0.339 1.154
Ag 0.000 0.000 0.000
Li -0.758 2.482 1.153

***

4
Lattice="9.334 -0.029 -0.017 8.831 3.023 -0.017 8.831 1.456 2.650" Properties=species:S:1:pos:R:3 comment="CrTcCl2 (PBE-GGA, optimized geometry)" magmom_total_mub_per_cell=2.14 sg=R3m polymorph_energy_ev_per_atom=0.091 mass_density_g_cm3=4.83 final_energy_ev_per_atom=-6.02 pbc="T T T"
Cl 0.708 0.117 0.069
Cl 5.968 0.984 0.578
Cr 13.343 2.199 1.293
Tc 20.475 3.375 1.984

***

14
Lattice="3.954 0.000 0.000 0.000 7.859 0.000 0.000 0.000 7.859" Properties=species:S:1:pos:R:3 comment="NpGe2Pd4 (PBE-GGA, optimized geometry)" magmom_total_mub_per_cell=7.96 formation_enthalpy_0k_ev_per_atom=-0.47 sg=P4_2/mnm polymorph_energy_ev_per_atom=0.000 mass_density_g_cm3=10.99 final_energy_ev_per_atom=-6.60 pbc="T T T"
Pd 1.977 3.252 6.562
Pd 0.000 2.633 0.678
Pd 1.977 1.297 4.607
Pd 0.000 7.181 5.226
Pd 0.000 5.226 7.181
Pd 0.000 0.678 2.633
Pd 1.977 6.562 3.252
Pd 1.977 4.607 1.297
Np 1.977 0.000 0.000
Np 0.000 3.929 3.929
Ge 1.977 5.638 5.638
Ge 0.000 1.709 6.150
Ge 0.000 6.150 1.709
Ge 1.977 2.221 2.221

***

5
Lattice="5.283 0.000 0.000 0.000 4.664 0.000 0.000 0.000 5.283" Properties=species:S:1:pos:R:3 comment="AlAgSb2Rh (PBE-GGA, optimized geometry)" magmom_total_mub_per_cell=0.00 sg=P4/mmm polymorph_energy_ev_per_atom=0.000 mass_density_g_cm3=6.14 final_energy_ev_per_atom=-3.49 pbc="T T T"
Sb 2.642 0.000 0.000
Sb 0.000 0.000 2.642
Ag 0.000 0.000 0.000
Al 0.000 2.332 0.000
Rh 2.642 2.332 2.642

***

4
Lattice="3.455 0.002 0.000 0.002 3.505 0.000 0.000 0.000 8.230" Properties=species:S:1:pos:R:3 comment="Sm2RuCl (PBE-GGA, optimized geometry)" magmom_total_mub_per_cell=0.00 sg=Pmm2 polymorph_energy_ev_per_atom=0.000 mass_density_g_cm3=7.28 final_energy_ev_per_atom=-6.05 pbc="T T T"
Cl 2.842 0.626 0.000
Sm 1.116 0.597 5.823
Sm 1.116 0.597 2.407
Ru 2.845 2.349 4.115

***

6
Lattice="-3.231 4.802 1.475 -3.513 -0.132 4.829 1.443 3.201 4.831" Properties=species:S:1:pos:R:3 comment="SmDyHg4 (PBE-GGA, optimized geometry)" magmom_total_mub_per_cell=0.00 formation_enthalpy_0k_ev_per_atom=-0.22 sg=F-43m polymorph_energy_ev_per_atom=0.126 mass_density_g_cm3=12.29 final_energy_ev_per_atom=-1.98 pbc="T T T"
Hg -1.697 2.518 6.222
Hg -1.556 4.985 4.545
Hg -4.034 3.319 4.544
Hg -3.313 4.919 6.960
Sm 0.000 0.000 0.000
Dy -1.325 1.968 2.784

***

4
Lattice="6.028 0.000 0.000 3.014 5.221 0.000 3.014 1.740 4.922" Properties=species:S:1:pos:R:3 comment="K2InCl (PBE-GGA, optimized geometry)" magmom_total_mub_per_cell=0.00 sg=F-43m polymorph_energy_ev_per_atom=0.487 mass_density_g_cm3=2.45 final_energy_ev_per_atom=-2.09 pbc="T T T"
In 9.043 5.221 3.692
K 0.000 0.000 0.000
K 3.014 1.740 1.231
Cl 6.028 3.481 2.461

***

4
Lattice="4.720 -0.069 0.000 1.563 4.454 0.000 -3.142 -2.193 2.758" Properties=species:S:1:pos:R:3 comment="TaFeOs2 (PBE-GGA, optimized geometry)" magmom_total_mub_per_cell=1.55 formation_enthalpy_0k_ev_per_atom=-0.01 sg=I4/mmm mass_density_g_cm3=17.59 final_energy_ev_per_atom=-10.70 pbc="T T T"
Os 0.000 0.000 0.000
Os 3.142 2.193 0.000
Fe 2.360 -0.035 1.379
Ta 0.782 2.227 1.379

***

9
Lattice="6.727 0.000 0.000 -3.363 5.826 0.000 0.000 0.000 11.582" Properties=species:S:1:pos:R:3 comment="CaAc6Sm2 (PBE-GGA, optimized geometry)" magmom_total_mub_per_cell=0.00 formation_enthalpy_0k_ev_per_atom=0.48 sg=P-31m mass_density_g_cm3=6.23 final_energy_ev_per_atom=-3.53 pbc="T T T"
Ac 4.477 0.000 8.643
Ac -2.238 3.877 8.643
Ac 1.125 1.949 8.643
Ac 2.250 0.000 2.939
Ac 2.238 3.877 2.939
Ac -1.125 1.949 2.939
Sm 0.000 3.884 5.791
Sm 3.363 1.942 5.791
Ca 0.000 0.000 0.000

***

5
Lattice="7.299 0.000 0.000 0.000 7.299 0.000 0.000 0.000 7.299" Properties=species:S:1:pos:R:3 comment="CsBeCd3 (PBE-GGA, optimized geometry)" magmom_total_mub_per_cell=0.00 formation_enthalpy_0k_ev_per_atom=1.14 sg=Pm-3m polymorph_energy_ev_per_atom=0.937 mass_density_g_cm3=2.05 final_energy_ev_per_atom=-0.33 pbc="T T T"
Cd 0.000 0.000 3.649
Cd 0.000 3.649 0.000
Cd 3.649 0.000 0.000
Be 3.649 3.649 3.649
Cs 0.000 0.000 0.000

***

20
Lattice="8.379 1.630 -3.929 0.312 8.540 -4.019 -1.758 -1.976 10.781" Properties=species:S:1:pos:R:3 comment="Sm2Dy5Ho3 (PBE-GGA, optimized geometry)" magmom_total_mub_per_cell=0.00 formation_enthalpy_0k_ev_per_atom=0.20 sg=C2/c polymorph_energy_ev_per_atom=0.000 mass_density_g_cm3=8.16 final_energy_ev_per_atom=-4.42 pbc="T T T"
Dy 0.823 3.062 0.479
Dy 2.023 0.422 6.058
Dy 3.420 6.083 0.085
Dy 3.512 2.111 2.748
Dy 4.909 7.772 -3.225
Dy 7.481 2.660 0.202
Dy 4.534 3.338 5.435
Dy 6.110 5.132 2.354
Dy -0.548 5.534 2.631
Dy 2.399 4.856 -2.602
Sm 1.712 8.280 -2.101
Sm 2.834 5.545 3.269
Sm 4.099 2.649 -0.436
Sm 5.221 -0.086 4.934
Ho 1.092 3.528 4.961
Ho 5.841 4.666 -2.128
Ho 0.531 6.830 5.469
Ho 7.023 2.004 3.403
Ho -0.090 6.190 -0.570
Ho 6.402 1.364 -2.636